The following is a PBE with a Hubbard U calculation of a relaxed NiGe2AsF crystal, from Alexandria via LeMat-Bulk.

Output
density of states at the Fermi level: 4.587 states/eV/cell
electronic total energy: -0.2536 Ry per atom

a = 4.624 Å, b = 4.624 Å, c = 4.408 Å
α = 90.00°, β = 90.00°, γ = 90.00°
Positions (direct):
1 Ni 0.000 0.000 0.000
2 Ge 0.000 0.500 0.000
3 Ge 0.500 0.000 0.000
4 As 0.000 0.000 0.500
5 F 0.500 0.500 0.500